1.
Material: Cs2NaRuO
Method: DFT, PBE-GGA
State: optimized geometry

Cell: 6.654 4.060 6.654 Å, 90.00 90.00 90.00°
Each line ends with the local moment (μB).
Fractional positions:
Cs 0.000 0.000 0.500  0.01
Cs 0.500 0.000 0.000  0.01
Ru 0.500 0.500 0.500  2.40
O 0.000 0.500 0.000  0.01
Na 0.000 0.000 0.000  0.00

Output
VASP energy	-2.9268	eV/atom
E_form (uncorrected)	0.53	eV/atom

***

2.
Material: CsNaRu2O6
Method: DFT, PBE-GGA
State: optimized geometry

Cell: 7.920 7.920 7.086 Å, 93.62 93.62 112.26°
Each line ends with the local moment (μB).
Fractional positions:
Cs 0.131 0.869 0.250  0.00
Cs 0.869 0.131 0.750  0.00
Na 0.661 0.339 0.250  0.00
Na 0.339 0.661 0.750  0.00
Ru 0.437 0.227 0.728  0.58
Ru 0.773 0.563 0.772  0.58
Ru 0.563 0.773 0.272  0.58
Ru 0.227 0.437 0.228  0.58
O 0.987 0.370 0.210  0.15
O 0.630 0.013 0.290  0.15
O 0.013 0.630 0.790  0.15
O 0.370 0.987 0.710  0.15
O 0.315 0.262 0.213  0.18
O 0.738 0.685 0.287  0.18
O 0.685 0.738 0.787  0.18
O 0.262 0.315 0.713  0.18
O 0.364 0.638 0.419  0.01
O 0.362 0.636 0.081  0.01
O 0.636 0.362 0.581  0.01
O 0.638 0.364 0.919  0.01

Output
VASP energy	-6.1157	eV/atom
E_form (uncorrected)	-1.07	eV/atom

***

3.
Material: Cs2NaRuO4
Method: DFT, PBE-GGA
State: optimized geometry

Cell: 5.779 7.102 11.151 Å, 83.95 74.98 65.99°
Each line ends with the local moment (μB).
Fractional positions:
Cs 0.178 0.000 0.643  0.00
Cs 0.822 0.000 0.357  0.00
Cs 0.572 0.500 0.857  0.00
Cs 0.928 0.500 0.143  0.00
Na 0.750 0.500 0.500  0.01
Na 0.000 0.000 0.000  0.01
Ru 0.250 0.500 0.500  0.64
Ru 0.500 0.000 0.000  0.64
O 0.352 0.816 0.074  0.07
O 0.242 0.184 0.926  0.07
O 0.832 0.816 0.926  0.07
O 0.574 0.184 0.074  0.07
O 0.398 0.684 0.426  0.07
O 0.508 0.316 0.574  0.07
O 0.918 0.684 0.574  0.07
O 0.176 0.316 0.426  0.07

Output
VASP energy	-5.1890	eV/atom
E_form (uncorrected)	-1.17	eV/atom

***

4.
Material: CsNaS2O8
Method: DFT, PBE-GGA
State: optimized geometry

Cell: 5.594 5.594 8.710 Å, 90.00 90.00 120.00°
Each line ends with the local moment (μB).
Fractional positions:
Cs 0.000 0.000 0.000  0.00
Na 0.000 0.000 0.500  0.00
S 0.667 0.333 0.270  -0.02
S 0.333 0.667 0.730  -0.02
O 0.333 0.667 0.901  0.17
O 0.378 0.190 0.327  0.23
O 0.810 0.188 0.327  0.23
O 0.667 0.333 0.099  0.17
O 0.190 0.812 0.673  0.23
O 0.622 0.810 0.673  0.23
O 0.188 0.378 0.673  0.23
O 0.812 0.622 0.327  0.23

Output
VASP energy	-5.5739	eV/atom
E_form (uncorrected)	-1.40	eV/atom

***

5.
Material: CsNaSO4
Method: DFT, PBE-GGA
State: optimized geometry

Cell: 5.559 5.619 9.622 Å, 90.00 121.24 90.00°
Fractional positions:
Cs 0.607 0.750 0.859
Cs 0.393 0.250 0.141
Na 0.839 0.750 0.542
Na 0.161 0.250 0.458
S 0.133 0.750 0.310
S 0.867 0.250 0.690
O 0.032 0.469 0.773
O 0.968 0.969 0.227
O 0.968 0.531 0.227
O 0.032 0.031 0.773
O 0.400 0.750 0.308
O 0.600 0.250 0.692
O 0.199 0.750 0.483
O 0.801 0.250 0.517

Output
VASP energy	-5.5718	eV/atom
E_form (uncorrected)	-1.84	eV/atom

***

6.
Material: CsNa2SbO4
Method: DFT, PBE-GGA
State: optimized geometry

Cell: 5.945 5.945 5.945 Å, 118.31 118.31 92.96°
Fractional positions:
Cs 0.500 0.500 0.000
Na 0.750 0.250 0.500
Na 0.250 0.750 0.500
Sb 0.000 0.000 0.000
O 0.683 0.683 0.639
O 0.957 0.317 0.000
O 0.317 0.957 0.000
O 0.043 0.043 0.361

Output
VASP energy	-5.0095	eV/atom
E_form (uncorrected)	-1.58	eV/atom

***

7.
Material: Cs2NaSb2O7
Method: DFT, PBE-GGA
State: optimized geometry

Cell: 4.052 4.052 12.509 Å, 80.69 80.69 90.00°
Each line ends with the local moment (μB).
Fractional positions:
Cs 0.814 0.814 0.373  0.00
Cs 0.186 0.186 0.627  0.00
Na 0.000 0.000 0.000  0.00
Sb 0.581 0.581 0.837  -0.01
Sb 0.419 0.419 0.163  -0.01
O 0.500 0.500 0.000  0.08
O 0.339 0.339 0.322  0.07
O 0.661 0.661 0.678  0.07
O 0.924 0.424 0.153  0.05
O 0.424 0.924 0.153  0.05
O 0.576 0.076 0.847  0.05
O 0.076 0.576 0.847  0.05

Output
VASP energy	-5.1962	eV/atom
E_form (uncorrected)	-1.36	eV/atom

***

8.
Material: CsNa3Se4O12
Method: DFT, PBE-GGA
State: optimized geometry

Cell: 7.638 7.638 7.638 Å, 105.21 105.21 105.21°
Each line ends with the local moment (μB).
Fractional positions:
Cs 0.000 0.000 0.000  0.01
Na 0.555 0.445 0.000  0.01
Na 0.445 0.000 0.555  0.01
Na 0.000 0.555 0.445  0.01
Se 0.947 0.053 0.500  0.14
Se 0.053 0.500 0.947  0.14
Se 0.500 0.947 0.053  0.14
Se 0.500 0.500 0.500  0.13
O 0.500 0.359 0.641  0.17
O 0.911 0.500 0.089  0.19
O 0.089 0.911 0.500  0.19
O 0.500 0.089 0.911  0.19
O 0.385 0.971 0.218  0.19
O 0.218 0.385 0.971  0.19
O 0.971 0.218 0.385  0.19
O 0.615 0.782 0.029  0.19
O 0.029 0.615 0.782  0.19
O 0.782 0.029 0.615  0.19
O 0.641 0.500 0.359  0.17
O 0.359 0.641 0.500  0.17

Output
VASP energy	-4.6908	eV/atom
E_form (uncorrected)	-0.78	eV/atom